Material: Sm2ThTe5
Method: DFT, GGA-PBE
State: optimized geometry

Cell lengths 7.982, 7.982, 15.028 Å; angles 90.00, 90.00, 134.47 degrees
Sites, in units of the cell vectors:
Sm  0.149  0.851  0.553
Sm  0.149  0.851  0.947
Sm  0.851  0.149  0.053
Sm  0.851  0.149  0.447
Th  0.208  0.792  0.250
Th  0.792  0.208  0.750
Te  0.046  0.954  0.124
Te  0.046  0.954  0.376
Te  0.245  0.755  0.750
Te  0.325  0.675  0.071
Te  0.325  0.675  0.429
Te  0.675  0.325  0.571
Te  0.675  0.325  0.929
Te  0.755  0.245  0.250
Te  0.954  0.046  0.624
Te  0.954  0.046  0.876

- Crystal system: orthorhombic
- Relative energy among the computed polymorphs: 0 meV per atom
- E_form (uncorrected): -1.269 eV per atom
- DFT total energy: -5.34 eV/atom

---

Material: ScZnP2Cl
Method: DFT, GGA-PBE
State: optimized geometry

Cell lengths 4.557, 4.557, 4.975 Å; angles 90.00, 90.00, 90.00 degrees
Sites, in units of the cell vectors:
Sc  0.000  0.000  0.000
Zn  0.500  0.500  0.500
P  0.000  0.500  0.500
P  0.500  0.000  0.500
Cl  0.500  0.500  0.000

- Crystal system: tetragonal
- Relative energy among the computed polymorphs: 28 meV per atom
- E_form (uncorrected): 0.060 eV per atom
- DFT total energy: -3.99 eV/atom

---

Material: NdDyTlGe
Method: DFT, GGA-PBE
State: optimized geometry

Cell lengths 7.493, 7.493, 7.493 Å; angles 90.00, 90.00, 90.00 degrees
Sites, in units of the cell vectors:
Nd  0.000  0.000  0.000
Nd  0.000  0.500  0.500
Nd  0.500  0.000  0.500
Nd  0.500  0.500  0.000
Dy  0.000  0.000  0.500
Dy  0.000  0.500  0.000
Dy  0.500  0.000  0.000
Dy  0.500  0.500  0.500
Tl  0.250  0.250  0.750
Tl  0.250  0.750  0.250
Tl  0.750  0.250  0.250
Tl  0.750  0.750  0.750
Ge  0.250  0.250  0.250
Ge  0.250  0.750  0.750
Ge  0.750  0.250  0.750
Ge  0.750  0.750  0.250

- Crystal system: cubic
- DFT total energy: -4.52 eV/atom

---

Material: NbTeH2PdI
Method: DFT, GGA-PBE
State: optimized geometry

Cell lengths 15.602, 3.590, 3.954 Å; angles 90.00, 99.11, 90.00 degrees
Sites, in units of the cell vectors:
Nb  0.000  0.000  0.000
Nb  0.500  0.500  0.000
Te  0.366  0.000  0.670
Te  0.866  0.500  0.670
H  0.027  0.000  0.508
H  0.490  0.000  0.199
H  0.527  0.500  0.508
H  0.990  0.500  0.199
Pd  0.332  0.500  0.149
Pd  0.832  0.000  0.149
I  0.144  0.500  0.009
I  0.644  0.000  0.009

- Crystal system: monoclinic
- Relative energy among the computed polymorphs: 119 meV per atom
- DFT total energy: -4.55 eV/atom

---

Material: Pm2Sm4Hg
Method: DFT, GGA-PBE
State: optimized geometry

Cell lengths 16.829, 3.585, 8.571 Å; angles 90.00, 117.55, 90.00 degrees
Sites, in units of the cell vectors:
Pm  0.216  0.000  0.140
Pm  0.284  0.500  0.860
Pm  0.716  0.500  0.140
Pm  0.784  0.000  0.860
Sm  0.082  0.000  0.701
Sm  0.126  0.500  0.382
Sm  0.374  0.000  0.618
Sm  0.418  0.500  0.299
Sm  0.582  0.500  0.701
Sm  0.626  0.000  0.382
Sm  0.874  0.500  0.618
Sm  0.918  0.000  0.299
Hg  0.000  0.000  0.000
Hg  0.500  0.500  0.000

- Crystal system: monoclinic
- DFT total energy: -4.10 eV/atom

---

Material: LiPmHoSc
Method: DFT, GGA-PBE
State: optimized geometry

Cell lengths 7.601, 7.601, 7.601 Å; angles 90.00, 90.00, 90.00 degrees
Sites, in units of the cell vectors:
Li  0.000  0.000  0.000
Li  0.000  0.500  0.500
Li  0.500  0.000  0.500
Li  0.500  0.500  0.000
Pm  0.250  0.250  0.750
Pm  0.250  0.750  0.250
Pm  0.750  0.250  0.250
Pm  0.750  0.750  0.750
Ho  0.250  0.250  0.250
Ho  0.250  0.750  0.750
Ho  0.750  0.250  0.750
Ho  0.750  0.750  0.250
Sc  0.000  0.000  0.500
Sc  0.000  0.500  0.000
Sc  0.500  0.000  0.000
Sc  0.500  0.500  0.500

- Crystal system: cubic
- DFT total energy: -4.24 eV/atom